No. 1
Entry from the Alexandria database: an optimized crystal structure of ScTe4Br (GGA-PBE).

a = 6.298 Å, b = 6.298 Å, c = 6.298 Å
α = 60.00°, β = 60.00°, γ = 60.00°
Last column: magnetic moment on the atom in μB.
Positions (direct):
Te 0.375 0.375 0.876  0.01
Te 0.375 0.375 0.375  0.01
Sc 0.000 0.000 0.000  -0.12
Te 0.375 0.876 0.375  0.01
Br 0.750 0.750 0.750  0.01
Te 0.876 0.375 0.375  0.01

* total moment: 0.11 μB/cell
* formation energy without anion corrections: 0.234 eV per formula unit
* density: 5970 kg/m³
* E_tot: -3.3895 eV per atom



No. 2
Entry from the Alexandria database: an optimized crystal structure of Sc2TeBr (GGA-PBE).

a = 5.012 Å, b = 5.012 Å, c = 5.012 Å
α = 60.00°, β = 60.00°, γ = 60.00°
Positions (direct):
Te 0.500 0.500 0.500
Sc 0.750 0.750 0.750
Sc 0.250 0.250 0.250
Br 0.000 0.000 0.000

* total moment: 0.01 μB/cell
* formation energy without anion corrections: -3.464 eV per formula unit
* energy above the most stable polymorph in this dataset: 0.164 eV per atom
* density: 5548 kg/m³
* E_tot: -5.2355 eV per atom



No. 3
Entry from the Alexandria database: an optimized crystal structure of ScTe2Br (GGA-PBE).

a = 5.901 Å, b = 5.901 Å, c = 5.603 Å
α = 77.76°, β = 77.76°, γ = 36.90°
Positions (direct):
Te 0.451 0.451 0.563
Br 0.250 0.250 0.250
Te 0.049 0.049 0.937
Sc 0.750 0.750 0.750

* total moment: 0.00 μB/cell
* formation energy without anion corrections: -2.548 eV per formula unit
* energy above the most stable polymorph in this dataset: 0.319 eV per atom
* density: 5527 kg/m³
* E_tot: -4.2089 eV per atom



No. 4
Entry from the Alexandria database: an optimized crystal structure of ScTe2Br2 (GGA-PBE).

a = 12.108 Å, b = 12.108 Å, c = 12.108 Å
α = 160.96°, β = 160.96°, γ = 27.05°
Last column: magnetic moment on the atom in μB.
Positions (direct):
Te 0.750 0.250 0.500  0.00
Sc 0.000 0.000 0.000  0.77
Br 0.569 0.569 0.000  -0.02
Te 0.250 0.750 0.500  0.00
Br 0.431 0.431 0.000  -0.02

* total moment: 0.99 μB/cell
* formation energy without anion corrections: -2.166 eV per formula unit
* density: 4045 kg/m³
* E_tot: -3.6254 eV per atom



No. 5
Entry from the Alexandria database: an optimized crystal structure of ScTeBr2 (GGA-PBE).

a = 3.296 Å, b = 3.295 Å, c = 10.919 Å
α = 90.00°, β = 90.00°, γ = 90.00°
Last column: magnetic moment on the atom in μB.
Positions (direct):
Br 0.000 0.000 0.401  0.00
Br 0.000 0.000 0.099  0.00
Sc 0.500 0.500 0.250  0.14
Te 0.500 0.500 0.750  0.00

* total moment: 0.20 μB/cell
* formation energy without anion corrections: -3.692 eV per formula unit
* energy above the most stable polymorph in this dataset: 0.287 eV per atom
* density: 4654 kg/m³
* E_tot: -4.1278 eV per atom



No. 6
Entry from the Alexandria database: an optimized crystal structure of ScTeBr2 (GGA-PBE).

a = 7.464 Å, b = 7.464 Å, c = 6.041 Å
α = 66.13°, β = 66.13°, γ = 25.92°
Positions (direct):
Te 0.250 0.250 0.250
Br 0.405 0.405 0.595
Br 0.095 0.095 0.905
Sc 0.750 0.750 0.750

* total moment: 0.00 μB/cell
* formation energy without anion corrections: -4.020 eV per formula unit
* energy above the most stable polymorph in this dataset: 0.206 eV per atom
* density: 4124 kg/m³
* E_tot: -4.2097 eV per atom



No. 7
Entry from the Alexandria database: an optimized crystal structure of Sc2TeBr (GGA-PBE).

a = 6.556 Å, b = 5.568 Å, c = 3.642 Å
α = 73.03°, β = 86.56°, γ = 124.69°
Positions (direct):
Te 0.000 0.500 0.500
Br 0.500 0.500 0.000
Sc 0.000 0.000 0.000
Sc 0.500 0.000 0.500

* total moment: 0.00 μB/cell
* formation energy without anion corrections: -2.793 eV per formula unit
* energy above the most stable polymorph in this dataset: 0.332 eV per atom
* density: 4931 kg/m³
* E_tot: -5.0676 eV per atom



No. 8
Entry from the Alexandria database: an optimized crystal structure of ScTeBr2 (GGA-PBE).

a = 4.631 Å, b = 4.631 Å, c = 4.878 Å
α = 90.00°, β = 90.00°, γ = 90.00°
Positions (direct):
Te 0.000 0.500 0.500
Sc 0.500 0.000 0.500
Br 0.000 0.000 0.000
Br 0.500 0.500 0.000

* total moment: 0.00 μB/cell
* formation energy without anion corrections: -1.378 eV per formula unit
* energy above the most stable polymorph in this dataset: 0.866 eV per atom
* density: 5277 kg/m³
* E_tot: -3.5492 eV per atom



No. 9
Entry from the Alexandria database: an optimized crystal structure of Sc2TeBr3 (GGA-PBE).

a = 3.895 Å, b = 8.235 Å, c = 12.732 Å
α = 76.41°, β = 81.20°, γ = 76.32°
Positions (direct):
Te 0.115 0.494 0.275
Br 0.640 0.200 0.520
Br 0.147 0.949 0.757
Br 0.352 0.295 0.001
Sc 0.264 0.612 0.860
Br 0.853 0.051 0.243
Br 0.648 0.705 0.999
Sc 0.736 0.388 0.140
Te 0.885 0.506 0.725
Sc 0.760 0.857 0.623
Br 0.360 0.800 0.480
Sc 0.240 0.143 0.377

* total moment: 0.04 μB/cell
* formation energy without anion corrections: -8.847 eV per formula unit
* density: 3958 kg/m³
* E_tot: -4.9450 eV per atom



No. 10
Entry from the Alexandria database: an optimized crystal structure of ScTeBr2 (GGA-PBE).

a = 3.571 Å, b = 7.433 Å, c = 7.434 Å
α = 47.25°, β = 90.00°, γ = 90.00°
Last column: magnetic moment on the atom in μB.
Positions (direct):
Sc 0.500 0.250 0.250  0.00
Br 0.000 0.108 0.109  0.01
Te 0.500 0.750 0.750  0.10
Br 0.000 0.392 0.391  0.01

* total moment: 0.21 μB/cell
* formation energy without anion corrections: -4.789 eV per formula unit
* energy above the most stable polymorph in this dataset: 0.013 eV per atom
* density: 3808 kg/m³
* E_tot: -4.4021 eV per atom



No. 11
Entry from the Alexandria database: an optimized crystal structure of ScTeBr2 (GGA-PBE).

a = 13.380 Å, b = 13.380 Å, c = 13.380 Å
α = 15.59°, β = 15.59°, γ = 15.59°
Last column: magnetic moment on the atom in μB.
Positions (direct):
Br 0.061 0.061 0.061  0.00
Br 0.939 0.939 0.939  0.00
Te 0.500 0.500 0.500  0.27
Sc 0.000 0.000 0.000  0.13

* total moment: 0.74 μB/cell
* formation energy without anion corrections: -1.201 eV per formula unit
* energy above the most stable polymorph in this dataset: 0.910 eV per atom
* density: 3662 kg/m³
* E_tot: -3.5051 eV per atom



No. 12
Entry from the Alexandria database: an optimized crystal structure of ScTeBr2 (GGA-PBE).

a = 10.553 Å, b = 10.553 Å, c = 10.553 Å
α = 19.44°, β = 19.44°, γ = 19.44°
Positions (direct):
Br 0.972 0.972 0.972
Sc 0.250 0.250 0.250
Te 0.750 0.750 0.750
Br 0.528 0.528 0.528

* total moment: 0.00 μB/cell
* formation energy without anion corrections: -3.886 eV per formula unit
* energy above the most stable polymorph in this dataset: 0.239 eV per atom
* density: 4847 kg/m³
* E_tot: -4.1764 eV per atom



No. 13
Entry from the Alexandria database: an optimized crystal structure of ScTe2Br (GGA-PBE).

a = 8.845 Å, b = 8.845 Å, c = 8.845 Å
α = 26.35°, β = 26.35°, γ = 26.35°
Positions (direct):
Sc 0.500 0.500 0.500
Br 0.000 0.000 0.000
Te 0.766 0.766 0.766
Te 0.234 0.234 0.234

* total moment: 0.00 μB/cell
* formation energy without anion corrections: -2.176 eV per formula unit
* energy above the most stable polymorph in this dataset: 0.412 eV per atom
* density: 5253 kg/m³
* E_tot: -4.1160 eV per atom



No. 14
Entry from the Alexandria database: an optimized crystal structure of ScTe2Br (GGA-PBE).

a = 7.848 Å, b = 7.848 Å, c = 7.848 Å
α = 151.37°, β = 139.70°, γ = 50.18°
Positions (direct):
Br 0.402 0.402 0.000
Te 0.121 0.121 0.000
Te 0.708 0.208 0.500
Sc 0.269 0.769 0.500

* total moment: 0.00 μB/cell
* formation energy without anion corrections: -3.246 eV per formula unit
* energy above the most stable polymorph in this dataset: 0.144 eV per atom
* density: 4232 kg/m³
* E_tot: -4.3835 eV per atom



No. 15
Entry from the Alexandria database: an optimized crystal structure of Sc2TeBr (GGA-PBE).

a = 3.788 Å, b = 3.788 Å, c = 6.857 Å
α = 90.00°, β = 90.00°, γ = 90.00°
Positions (direct):
Sc 0.000 0.000 0.983
Sc 0.500 0.500 0.255
Te 0.000 0.000 0.420
Br 0.500 0.500 0.842

* total moment: 0.00 μB/cell
* formation energy without anion corrections: -4.122 eV per formula unit
* energy above the most stable polymorph in this dataset: 0.000 eV per atom
* density: 5019 kg/m³
* E_tot: -5.3999 eV per atom